First-principles (PBE with a Hubbard U) data for a geometry-optimized VCu2HO5 structure, as listed in Alexandria.

abc: 15.195 6.158 8.582
angles: 90.00 90.00 90.00
Space group Pnma (No. 62)
Inequivalent atoms, fractional coordinates:
V1 0.080 0.250 0.186 [4 per cell]
V2 0.152 0.750 0.530 [4 per cell]
Cu1 0.076 0.250 0.583 [4 per cell]
Cu2 0.138 0.506 0.869 [8 per cell]
Cu3 0.213 0.750 0.151 [4 per cell]
H1 0.004 0.250 0.854 [4 per cell]
H2 0.221 0.250 0.390 [4 per cell]
O1 0.031 0.750 0.821 [4 per cell]
O2 0.048 0.750 0.459 [4 per cell]
O3 0.065 0.250 0.814 [4 per cell]
O4 0.120 0.011 0.094 [8 per cell]
O5 0.120 0.250 0.378 [4 per cell]
O6 0.172 0.508 0.646 [8 per cell]
O7 0.214 0.750 0.924 [4 per cell]
O8 0.224 0.750 0.371 [4 per cell]

## Properties
Volume, Å³ per cell: 803.05
VASP energy, eV per atom: -5.96